Entry 1
This record from Alexandria describes a relaxed Ni2HOsW crystal. The functional is PBE-GGA.

Results
Space-group type = P4/mmm (123)

Structure (CIF):
```
data_Ni2HOsW
_cell_length_a 3.7373
_cell_length_b 3.7373
_cell_length_c 3.8899
_cell_angle_alpha 90.00
_cell_angle_beta 90.00
_cell_angle_gamma 90.00
_space_group_name_H-M_alt 'P 1'
_space_group_IT_number 1
_space_group_name_Hall 'P 1'
loop_
_atom_site_label
_atom_site_fract_x
_atom_site_fract_y
_atom_site_fract_z
Ni1 0.0000 0.5000 0.0000
Ni2 0.5000 0.0000 0.0000
Os1 0.0000 0.0000 0.5000
W1 0.5000 0.5000 0.5000
H1 0.0000 0.0000 0.0000
```

Entry 2
This record from Alexandria describes a relaxed Ni2HOsW crystal. The functional is PBE-GGA.

Results
Space-group type = P4/mmm (123)

Structure (CIF):
```
data_Ni2HOsW
_cell_length_a 3.6996
_cell_length_b 3.6996
_cell_length_c 3.9767
_cell_angle_alpha 90.00
_cell_angle_beta 90.00
_cell_angle_gamma 90.00
_space_group_name_H-M_alt 'P 1'
_space_group_IT_number 1
_space_group_name_Hall 'P 1'
loop_
_atom_site_label
_atom_site_fract_x
_atom_site_fract_y
_atom_site_fract_z
Ni1 0.0000 0.5000 0.0000
Ni2 0.5000 0.0000 0.0000
Os1 0.5000 0.5000 0.5000
W1 0.0000 0.0000 0.5000
H1 0.0000 0.0000 0.0000
```

Compare the structures above. Which one is the most stable? entry 2 is.